Density functional theory data (PBE) for a relaxed structure of KSrAg2.

Unit cell a=5.635 b=5.635 c=5.635 alpha=60.00 beta=60.00 gamma=60.00
Element x y z (fractional)
K (0.000, 0.000, 0.000)
Sr (0.500, 0.500, 0.500)
Ag (0.250, 0.250, 0.250)
Ag (0.750, 0.750, 0.750)

Values from the calculation:
Magnetic moment in μB/cell: 0.00
Energy above the most stable polymorph in this dataset in meV per atom: 56.6